CoAgRu PBEsol relaxed; symmetry = I4mm; calculated formation energy = 0.36 eV per atom
1.0
-1.327 1.327 5.671
1.327 -1.327 5.671
1.327 1.327 -5.671
Co Ag Ru
1 1 1
direct
0.000 0.000 0.000
0.325 0.325 0.000
0.635 0.635 0.000

TaNbTl2Rh PBEsol relaxed; symmetry = P4/mmm; calculated formation energy = 1.20 eV per atom
1.0
4.926 0.000 0.000
0.000 4.926 0.000
0.000 0.000 4.766
Ta Nb Tl Rh
1 1 2 1
direct
0.000 0.000 0.000
0.500 0.500 0.000
0.000 0.500 0.500
0.500 0.000 0.500
0.000 0.000 0.500

Dy2P4O13 PBEsol relaxed; symmetry = C222_1
1.0
3.509 -8.685 0.000
3.509 8.685 0.000
0.000 0.000 8.568
Dy P O
4 8 26
direct
0.104 0.397 0.148
0.397 0.104 0.852
0.603 0.896 0.352
0.896 0.603 0.648
0.080 0.400 0.501
0.221 0.349 0.775
0.349 0.221 0.225
0.400 0.080 0.499
0.600 0.920 0.999
0.651 0.779 0.725
0.779 0.651 0.275
0.920 0.600 0.001
0.015 0.473 0.607
0.081 0.765 0.882
0.093 0.325 0.899
0.118 0.286 0.607
0.235 0.919 0.618
0.244 0.286 0.202
0.273 0.570 0.402
0.286 0.118 0.393
0.286 0.244 0.798
0.325 0.093 0.101
0.411 0.589 0.750
0.430 0.727 0.098
0.473 0.015 0.393
0.527 0.985 0.893
0.570 0.273 0.598
0.589 0.411 0.250
0.675 0.907 0.601
0.714 0.756 0.298
0.714 0.882 0.893
0.727 0.430 0.902
0.756 0.714 0.702
0.765 0.081 0.118
0.882 0.714 0.107
0.907 0.675 0.399
0.919 0.235 0.382
0.985 0.527 0.107

Li2AlIn PBEsol relaxed; symmetry = I4/mmm; calculated formation energy = -0.18 eV per atom
1.0
-2.043 2.043 4.232
2.043 -2.043 4.232
2.043 2.043 -4.232
Li Al In
2 1 1
direct
0.250 0.750 0.500
0.750 0.250 0.500
0.000 0.000 0.000
0.500 0.500 0.000

Co2CuHg PBEsol relaxed; symmetry = R3m; calculated formation energy = 0.38 eV per atom
1.0
1.355 0.782 8.458
-1.355 0.782 8.458
0.000 -1.564 8.458
Co Cu Hg
2 1 1
direct
0.000 0.000 0.000
0.263 0.263 0.263
0.744 0.744 0.744
0.504 0.504 0.504

Ca5Si2C2O13 PBEsol relaxed; symmetry = P2_1/c
1.0
7.533 0.000 0.000
0.000 10.251 0.000
-3.914 0.000 14.547
Ca Si C O
20 8 8 52
direct
0.046 0.088 0.124
0.046 0.412 0.624
0.088 0.709 0.175
0.088 0.791 0.675
0.252 0.505 0.997
0.252 0.995 0.497
0.392 0.208 0.318
0.392 0.292 0.818
0.437 0.577 0.360
0.437 0.923 0.860
0.563 0.077 0.140
0.563 0.423 0.640
0.608 0.708 0.182
0.608 0.792 0.682
0.748 0.005 0.503
0.748 0.495 0.003
0.912 0.209 0.325
0.912 0.291 0.825
0.954 0.588 0.376
0.954 0.912 0.876
0.136 0.080 0.702
0.136 0.420 0.202
0.429 0.586 0.796
0.429 0.914 0.296
0.571 0.086 0.704
0.571 0.414 0.204
0.864 0.580 0.798
0.864 0.920 0.298
0.184 0.197 0.978
0.184 0.303 0.478
0.340 0.691 0.531
0.340 0.809 0.031
0.660 0.191 0.969
0.660 0.309 0.469
0.816 0.697 0.522
0.816 0.803 0.022
0.041 0.125 0.944
0.041 0.375 0.444
0.054 0.023 0.599
0.054 0.477 0.099
0.085 0.228 0.725
0.085 0.272 0.225
0.114 0.531 0.276
0.114 0.969 0.776
0.216 0.205 0.429
0.216 0.295 0.929
0.249 0.661 0.450
0.249 0.839 0.950
0.284 0.177 0.059
0.284 0.323 0.559
0.299 0.706 0.073
0.299 0.794 0.573
0.322 0.024 0.222
0.322 0.476 0.722
0.365 0.085 0.726
0.365 0.415 0.226
0.367 0.737 0.771
0.367 0.763 0.271
0.446 0.530 0.899
0.446 0.970 0.399
0.481 0.623 0.573
0.481 0.877 0.073
0.519 0.123 0.927
0.519 0.377 0.427
0.554 0.030 0.601
0.554 0.470 0.101
0.633 0.237 0.729
0.633 0.263 0.229
0.635 0.585 0.774
0.635 0.915 0.274
0.678 0.524 0.278
0.678 0.976 0.778
0.701 0.206 0.427
0.701 0.294 0.927
0.716 0.677 0.441
0.716 0.823 0.941
0.751 0.161 0.050
0.751 0.339 0.550
0.784 0.705 0.071
0.784 0.795 0.571
0.886 0.031 0.224
0.886 0.469 0.724
0.915 0.728 0.775
0.915 0.772 0.275
0.946 0.523 0.901
0.946 0.977 0.401
0.959 0.625 0.556
0.959 0.875 0.056

CrRh2 PBEsol relaxed; symmetry = C2/m; calculated formation energy = -0.10 eV per atom
1.0
4.793 -1.322 0.000
4.793 1.322 0.000
-1.512 0.000 6.010
Cr Rh
2 4
direct
0.029 0.029 0.308
0.971 0.971 0.692
0.316 0.316 0.369
0.364 0.364 0.970
0.636 0.636 0.030
0.684 0.684 0.631

YTaTc2 PBEsol relaxed; symmetry = Pm; calculated formation energy = 0.20 eV per atom
1.0
2.916 0.000 0.000
0.000 4.512 0.000
-1.145 0.000 5.229
Y Ta Tc
1 1 2
direct
0.000 0.000 0.000
0.725 0.500 0.285
0.245 0.500 0.748
0.499 0.000 0.508

BeAlPt4 PBEsol relaxed; symmetry = F-43m; calculated formation energy = 0.13 eV per atom
1.0
0.000 3.650 3.650
3.650 0.000 3.650
3.650 3.650 0.000
Be Al Pt
1 1 4
direct
0.000 0.000 0.000
0.750 0.750 0.750
0.375 0.375 0.375
0.375 0.375 0.875
0.375 0.875 0.375
0.875 0.375 0.375

LiLa3O PBEsol relaxed; symmetry = Pm-3m
1.0
5.021 0.000 0.000
0.000 5.021 0.000
0.000 0.000 5.021
Li La O
1 3 1
direct
0.000 0.000 0.000
0.000 0.500 0.500
0.500 0.000 0.500
0.500 0.500 0.000
0.500 0.500 0.500

ReAgIr2 PBEsol relaxed; symmetry = P4/mmm; calculated formation energy = 0.03 eV per atom
1.0
2.766 0.000 0.000
0.000 2.766 0.000
0.000 0.000 7.743
Re Ag Ir
1 1 2
direct
0.000 0.000 0.000
0.000 0.000 0.500
0.500 0.500 0.231
0.500 0.500 0.769

RbSrScBe2 PBEsol relaxed; symmetry = P4/mmm; calculated formation energy = 1.16 eV per atom
1.0
5.211 0.000 0.000
0.000 5.211 0.000
0.000 0.000 5.837
Rb Sr Sc Be
1 1 1 2
direct
0.000 0.000 0.000
0.500 0.500 0.000
0.500 0.500 0.500
0.000 0.500 0.500
0.500 0.000 0.500

ZrZn2Te PBEsol relaxed; symmetry = P4mm
1.0
3.564 0.000 0.000
0.000 3.564 0.000
0.000 0.000 5.977
Zr Zn Te
1 2 1
direct
0.000 0.000 0.000
0.000 0.000 0.469
0.500 0.500 0.276
0.500 0.500 0.757

RbZnCl2F PBEsol relaxed; symmetry = P4/mmm
1.0
4.990 0.000 0.000
0.000 4.990 0.000
0.000 0.000 4.052
Rb Zn Cl F
1 1 2 1
direct
0.000 0.000 0.000
0.500 0.500 0.500
0.000 0.500 0.500
0.500 0.000 0.500
0.500 0.500 0.000

SnSbO2F PBEsol relaxed; symmetry = P4/mmm
1.0
4.126 0.000 0.000
0.000 4.126 0.000
0.000 0.000 4.297
Sn Sb O F
1 1 2 1
direct
0.000 0.000 0.000
0.500 0.500 0.500
0.000 0.500 0.000
0.500 0.000 0.000
0.000 0.000 0.500

Cr2Ir PBEsol relaxed; symmetry = P6_3/mmc; calculated formation energy = 0.07 eV per atom
1.0
4.115 0.000 0.000
-2.058 3.564 0.000
0.000 0.000 5.109
Cr Ir
4 2
direct
0.000 0.000 0.000
0.000 0.000 0.500
0.333 0.667 0.250
0.667 0.333 0.750
0.333 0.667 0.750
0.667 0.333 0.250

Mg3Au PBEsol relaxed; symmetry = I4/mmm; calculated formation energy = -0.33 eV per atom
1.0
-2.188 2.188 3.886
2.188 -2.188 3.886
2.188 2.188 -3.886
Mg Au
3 1
direct
0.000 0.000 0.000
0.250 0.750 0.500
0.750 0.250 0.500
0.500 0.500 0.000

HfRu3O PBEsol relaxed; symmetry = Pm-3m
1.0
4.050 0.000 0.000
0.000 4.050 0.000
0.000 0.000 4.050
Hf Ru O
1 3 1
direct
0.000 0.000 0.000
0.000 0.500 0.500
0.500 0.000 0.500
0.500 0.500 0.000
0.500 0.500 0.500

BaBeW2 PBEsol relaxed; symmetry = Cmm2; calculated formation energy = 0.91 eV per atom
1.0
1.722 -2.316 0.000
1.722 2.316 0.000
0.000 0.000 9.247
Ba Be W
1 1 2
direct
0.000 0.000 0.000
0.500 0.500 0.286
0.000 0.000 0.465
0.500 0.500 0.684

EuHg2Bi PBEsol relaxed; symmetry = Fm-3m; calculated formation energy = -0.50 eV per atom
1.0
0.000 3.750 3.750
3.750 0.000 3.750
3.750 3.750 0.000
Eu Hg Bi
1 2 1
direct
0.000 0.000 0.000
0.250 0.250 0.250
0.750 0.750 0.750
0.500 0.500 0.500

ErRe2 PBEsol relaxed; symmetry = P6_3/mmc; calculated formation energy = -0.26 eV per atom
1.0
5.343 0.000 0.000
-2.672 4.628 0.000
0.000 0.000 8.682
Er Re
4 8
direct
0.333 0.667 0.062
0.333 0.667 0.438
0.667 0.333 0.562
0.667 0.333 0.938
0.000 0.000 0.000
0.000 0.000 0.500
0.171 0.342 0.750
0.171 0.829 0.750
0.342 0.171 0.250
0.658 0.829 0.750
0.829 0.171 0.250
0.829 0.658 0.250

GeCNO2 PBEsol relaxed; symmetry = P4/mmm
1.0
4.307 0.000 0.000
0.000 4.307 0.000
0.000 0.000 2.503
Ge C N O
1 1 1 2
direct
0.000 0.000 0.000
0.500 0.500 0.500
0.500 0.500 0.000
0.000 0.500 0.500
0.500 0.000 0.500

What are the energy values for these records? In order: -6.72 -6.15 -8.05 -2.94 -4.72 -7.71 -8.93 -10.28 -5.86 -5.73 -9.04 -2.34 -4.29 -3.48 -5.21 -10.03 -2.59 -9.51 -7.53 -4.50 -10.79 -6.04 eV per atom.